# NpTe3Pd

Crystalline NpTe3Pd at its relaxed geometry (PBE, the Alexandria database).

Cell lengths 4.2098, 7.4450, 8.6243 Å; angles 91.45, 90.00, 90.00 degrees
Atoms (fractional coordinates):
Np1 0.2500 0.3876 0.2126
Np2 0.7500 0.6124 0.7874
Te1 0.7500 0.6255 0.4053
Te2 0.2500 0.3745 0.5947
Te3 0.7500 0.2573 0.9731
Te4 0.2500 0.8936 0.6498
Te5 0.2500 0.7427 0.0269
Te6 0.7500 0.1064 0.3502
Pd1 0.2500 0.8546 0.3302
Pd2 0.7500 0.1454 0.6698

DOS(E_F) in states/eV/atom: 2.255
Crystal system: monoclinic
Total DFT energy (no corrections) in eV per atom: -5.992

# NpTePd2

Crystalline NpTePd2 at its relaxed geometry (PBE, the Alexandria database).

Cell lengths 4.8777, 4.8777, 4.8777 Å; angles 60.00, 60.00, 60.00 degrees
Atoms (fractional coordinates):
Np1 0.5000 0.5000 0.5000
Te1 0.0000 0.0000 0.0000
Pd1 0.2500 0.2500 0.2500
Pd2 0.7500 0.7500 0.7500

DOS(E_F) in states/eV/atom: 2.673
Crystal system: cubic
Total DFT energy (no corrections) in eV per atom: -6.925

# Np3Te12Pd5

Crystalline Np3Te12Pd5 at its relaxed geometry (PBE, the Alexandria database).

Cell lengths 14.5019, 14.5019, 14.5019 Å; angles 109.47, 109.47, 109.47 degrees
Atoms (fractional coordinates):
Np1 0.7500 0.3750 0.1250
Np2 0.8750 0.7500 0.1250
Np3 0.3750 0.7500 0.6250
Np4 0.2500 0.1250 0.3750
Np5 0.8750 0.1250 0.2500
Np6 0.3750 0.6250 0.2500
Np7 0.6250 0.3750 0.7500
Np8 0.1250 0.8750 0.7500
Np9 0.7500 0.8750 0.6250
Np10 0.6250 0.2500 0.3750
Np11 0.1250 0.2500 0.8750
Np12 0.2500 0.6250 0.8750
Pd1 0.1250 0.3750 0.2500
Pd2 0.0000 0.5000 0.0000
Pd3 0.0000 0.0000 0.0000
Pd4 0.3750 0.2500 0.1250
Pd5 0.5000 0.0000 0.5000
Pd6 0.5000 0.5000 0.0000
Pd7 0.1250 0.7500 0.3750
Pd8 0.7500 0.1250 0.8750
Pd9 0.7500 0.6250 0.3750
Pd10 0.3750 0.1250 0.7500
Pd11 0.6250 0.8750 0.2500
Pd12 0.5000 0.5000 0.5000
Pd13 0.5000 0.0000 0.0000
Pd14 0.0000 0.0000 0.5000
Pd15 0.2500 0.3750 0.6250
Pd16 0.2500 0.8750 0.1250
Pd17 0.0000 0.5000 0.5000
Pd18 0.8750 0.2500 0.6250
Pd19 0.6250 0.7500 0.8750
Pd20 0.8750 0.6250 0.7500
Te1 0.7109 0.1250 0.0391
Te2 0.3283 0.5391 0.4142
Te3 0.9609 0.3750 0.2891
Te4 0.5391 0.2109 0.1250
Te5 0.5859 0.7109 0.6717
Te6 0.9609 0.5858 0.1717
Te7 0.3283 0.7891 0.4141
Te8 0.0858 0.9141 0.1250
Te9 0.5858 0.9609 0.6717
Te10 0.7109 0.5859 0.1717
Te11 0.7891 0.4609 0.3750
Te12 0.8283 0.9142 0.0391
Te13 0.1250 0.7109 0.5391
Te14 0.3750 0.4142 0.0859
Te15 0.0859 0.9142 0.3750
Te16 0.4141 0.1250 0.5858
Te17 0.0859 0.1717 0.2109
Te18 0.4609 0.6717 0.0858
Te19 0.8283 0.9141 0.2891
Te20 0.1250 0.4141 0.0858
Te21 0.3750 0.9609 0.7891
Te22 0.5858 0.6250 0.4141
Te23 0.9142 0.8283 0.5391
Te24 0.7891 0.3283 0.9141
Te25 0.4142 0.3750 0.5859
Te26 0.0858 0.1717 0.4609
Te27 0.2109 0.6717 0.0859
Te28 0.1717 0.0859 0.7109
Te29 0.6250 0.0391 0.2109
Te30 0.8750 0.5859 0.9142
Te31 0.5391 0.3283 0.9142
Te32 0.5859 0.8750 0.4142
Te33 0.9141 0.8283 0.7891
Te34 0.9141 0.0858 0.6250
Te35 0.8750 0.2891 0.4609
Te36 0.1717 0.0858 0.9609
Te37 0.6250 0.5858 0.9141
Te38 0.4142 0.0391 0.3283
Te39 0.2891 0.4141 0.8283
Te40 0.2109 0.5391 0.6250
Te41 0.9142 0.0859 0.8750
Te42 0.6717 0.2109 0.5859
Te43 0.4609 0.7891 0.8750
Te44 0.0391 0.4142 0.8283
Te45 0.4141 0.2891 0.3283
Te46 0.0391 0.6250 0.7109
Te47 0.6717 0.4609 0.5858
Te48 0.2891 0.8750 0.9609

DOS(E_F) in states/eV/atom: 1.777
Crystal system: cubic
Total DFT energy (no corrections) in eV per atom: -5.477

# NpTe12Pd7

Crystalline NpTe12Pd7 at its relaxed geometry (PBE, the Alexandria database).

Cell lengths 8.4572, 8.4572, 8.4572 Å; angles 103.93, 103.93, 103.93 degrees
Atoms (fractional coordinates):
Np1 0.0000 0.0000 0.0000
Te1 0.9846 0.2895 0.7637
Te2 0.7105 0.2363 0.0154
Te3 0.4383 0.1544 0.3892
Te4 0.8456 0.6108 0.5617
Te5 0.2363 0.0154 0.7105
Te6 0.6108 0.5617 0.8456
Te7 0.3892 0.4383 0.1544
Te8 0.7637 0.9846 0.2895
Te9 0.1544 0.3892 0.4383
Te10 0.5617 0.8456 0.6108
Te11 0.2895 0.7637 0.9846
Te12 0.0154 0.7105 0.2363
Pd1 0.9442 0.6289 0.8922
Pd2 0.3711 0.1078 0.0558
Pd3 0.1078 0.0558 0.3711
Pd4 0.5000 0.5000 0.5000
Pd5 0.8922 0.9442 0.6289
Pd6 0.6289 0.8922 0.9442
Pd7 0.0558 0.3711 0.1078

DOS(E_F) in states/eV/atom: 0.967
Crystal system: trigonal
Total DFT energy (no corrections) in eV per atom: -4.631

# Np2Te4Pd

Crystalline Np2Te4Pd at its relaxed geometry (PBE, the Alexandria database).

Cell lengths 4.9271, 6.3269, 6.3269 Å; angles 104.71, 90.00, 90.00 degrees
Atoms (fractional coordinates):
Np1 0.0000 0.7572 0.2428
Np2 0.0000 0.2428 0.7572
Te1 0.0000 0.7313 0.7313
Te2 0.0000 0.2687 0.2687
Te3 0.5000 0.0000 0.5000
Te4 0.5000 0.5000 0.0000
Pd1 0.5000 0.5000 0.5000

DOS(E_F) in states/eV/atom: 2.583
Crystal system: orthorhombic
Total DFT energy (no corrections) in eV per atom: -6.678

# NpTlTe2Pd

Crystalline NpTlTe2Pd at its relaxed geometry (PBE, the Alexandria database).

Cell lengths 4.7059, 9.0214, 7.8097 Å; angles 99.59, 90.00, 90.00 degrees
Atoms (fractional coordinates):
Np1 0.4978 0.0000 0.2500
Np2 0.5022 0.0000 0.7500
Tl1 0.2026 0.5000 0.7500
Tl2 0.7974 0.5000 0.2500
Te1 0.7128 0.7468 0.9532
Te2 0.7128 0.2532 0.5468
Te3 0.2872 0.7468 0.4532
Te4 0.2872 0.2532 0.0468
Pd1 0.0000 0.0000 0.0000
Pd2 0.0000 0.0000 0.5000

DOS(E_F) in states/eV/atom: 1.945
Crystal system: monoclinic
Total DFT energy (no corrections) in eV per atom: -5.719

# Np2Tl3Te6Pd

Crystalline Np2Tl3Te6Pd at its relaxed geometry (PBE, the Alexandria database).

Cell lengths 7.4207, 7.4207, 8.7005 Å; angles 99.27, 99.27, 118.91 degrees
Atoms (fractional coordinates):
Np1 0.3371 0.6629 0.0000
Np2 0.6629 0.3371 0.0000
Tl1 0.1782 0.8218 0.5000
Tl2 0.8218 0.1782 0.5000
Tl3 0.5000 0.5000 0.5000
Te1 0.9339 0.6267 0.8037
Te2 0.7386 0.7386 0.2335
Te3 0.0661 0.3733 0.1963
Te4 0.6267 0.9339 0.8037
Te5 0.2614 0.2614 0.7665
Te6 0.3733 0.0661 0.1963
Pd1 0.0000 0.0000 0.0000

DOS(E_F) in states/eV/atom: 1.509
Crystal system: monoclinic
Total DFT energy (no corrections) in eV per atom: -5.175

# Np3Tl3Te8Pd

Crystalline Np3Tl3Te8Pd at its relaxed geometry (PBE, the Alexandria database).

Cell lengths 8.5779, 8.5887, 9.7945 Å; angles 115.94, 89.97, 120.09 degrees
Atoms (fractional coordinates):
Np1 0.5000 0.0000 0.5000
Np2 0.5000 0.5000 0.5000
Np3 0.0000 0.5000 0.5000
Tl1 0.0000 0.0000 0.0000
Tl2 0.0000 0.5000 0.0000
Tl3 0.5000 0.5000 0.0000
Te1 0.2607 0.5213 0.2823
Te2 0.7393 0.4787 0.7177
Te3 0.7762 0.5521 0.2996
Te4 0.2238 0.4479 0.7004
Te5 0.7756 0.0235 0.2992
Te6 0.2244 0.9765 0.7008
Te7 0.2451 0.0228 0.3008
Te8 0.7549 0.9772 0.6992
Pd1 0.0000 0.0000 0.5000

DOS(E_F) in states/eV/atom: 2.343
Crystal system: monoclinic
Total DFT energy (no corrections) in eV per atom: -5.540

# TmNpTe3Pd

Crystalline TmNpTe3Pd at its relaxed geometry (PBE, the Alexandria database).

Cell lengths 4.1837, 8.1997, 9.9109 Å; angles 101.34, 90.00, 90.00 degrees
Atoms (fractional coordinates):
Tm1 0.2500 0.6779 0.1804
Tm2 0.7500 0.3221 0.8196
Np1 0.2500 0.1838 0.2824
Np2 0.7500 0.8162 0.7176
Te1 0.7500 0.9243 0.1343
Te2 0.2500 0.0757 0.8657
Te3 0.2500 0.7218 0.4826
Te4 0.7500 0.2782 0.5174
Te5 0.7500 0.4045 0.1461
Te6 0.2500 0.5955 0.8539
Pd1 0.2500 0.0864 0.5925
Pd2 0.7500 0.9136 0.4075

DOS(E_F) in states/eV/atom: 1.250
Crystal system: monoclinic
Total DFT energy (no corrections) in eV per atom: -6.247

# ThNp3Pd12

Crystalline ThNp3Pd12 at its relaxed geometry (PBE, the Alexandria database).

Cell lengths 4.1620, 4.1620, 16.7234 Å; angles 90.00, 90.00, 90.00 degrees
Atoms (fractional coordinates):
Th1 0.0000 0.0000 0.0000
Np1 0.0000 0.0000 0.2528
Np2 0.0000 0.0000 0.5000
Np3 0.0000 0.0000 0.7472
Pd1 0.5000 0.5000 0.0000
Pd2 0.5000 0.5000 0.2505
Pd3 0.5000 0.5000 0.5000
Pd4 0.5000 0.5000 0.7495
Pd5 0.5000 0.0000 0.1257
Pd6 0.5000 0.0000 0.3758
Pd7 0.5000 0.0000 0.6242
Pd8 0.5000 0.0000 0.8743
Pd9 0.0000 0.5000 0.1257
Pd10 0.0000 0.5000 0.3758
Pd11 0.0000 0.5000 0.6242
Pd12 0.0000 0.5000 0.8743

DOS(E_F) in states/eV/atom: 2.181
Crystal system: tetragonal
Formation energy in kJ/mol of formula units: -870.3

# ThNp2Pd9

Crystalline ThNp2Pd9 at its relaxed geometry (PBE, the Alexandria database).

Cell lengths 4.1755, 4.1755, 12.5241 Å; angles 90.00, 90.00, 90.00 degrees
Atoms (fractional coordinates):
Th1 0.0000 0.0000 0.0000
Np1 0.0000 0.0000 0.3368
Np2 0.0000 0.0000 0.6632
Pd1 0.5000 0.5000 0.0000
Pd2 0.5000 0.5000 0.3334
Pd3 0.5000 0.5000 0.6666
Pd4 0.5000 0.0000 0.1673
Pd5 0.5000 0.0000 0.5000
Pd6 0.5000 0.0000 0.8327
Pd7 0.0000 0.5000 0.1673
Pd8 0.0000 0.5000 0.5000
Pd9 0.0000 0.5000 0.8327

DOS(E_F) in states/eV/atom: 1.733
Crystal system: tetragonal
Formation energy in kJ/mol of formula units: -708.1

# ThNpPd14

Crystalline ThNpPd14 at its relaxed geometry (PBE, the Alexandria database).

Cell lengths 5.8652, 5.8652, 7.8209 Å; angles 90.00, 90.00, 90.00 degrees
Atoms (fractional coordinates):
Th1 0.3750 0.3750 0.5000
Np1 0.8750 0.8750 0.5000
Pd1 0.8750 0.8750 0.0000
Pd2 0.3750 0.3750 0.0000
Pd3 0.8750 0.3750 0.5000
Pd4 0.8750 0.3750 0.0000
Pd5 0.3750 0.8750 0.5000
Pd6 0.3750 0.8750 0.0000
Pd7 0.6281 0.1219 0.2436
Pd8 0.6281 0.1219 0.7564
Pd9 0.1219 0.6281 0.2436
Pd10 0.1219 0.6281 0.7564
Pd11 0.6281 0.6281 0.2436
Pd12 0.6281 0.6281 0.7564
Pd13 0.1219 0.1219 0.2436
Pd14 0.1219 0.1219 0.7564

DOS(E_F) in states/eV/atom: 1.456
Crystal system: tetragonal
Formation energy in kJ/mol of formula units: -560.6